The following is a DFT calculation (GGA-PBEsol) of a geometry-optimized LiYFe2 structure.

a b c (Å): 3.094 3.094 7.088
angles (deg): 90.00 90.00 90.00
Sites, in units of the cell vectors:
Fe 0.000 0.000 0.936
Fe 0.500 0.500 0.794
Li 0.000 0.000 0.566
Y 0.500 0.500 0.204

Calculated values
* energy of formation from the pure elements: 0.29 eV per atom
* magnetic moment: 4.60 μB/f.u.
* total DFT energy (no corrections): -25.5 eV/f.u.
* energy above the lowest structure with this stoichiometry: 0 meV per atom